The following is a DFT calculation (GGA-PBE) of crystalline TbEr2IrPd2Pb3 at its relaxed geometry.

a = 3.8629 Å, b = 7.7941 Å, c = 7.7941 Å
α = 120.09°, β = 90.00°, γ = 90.00°
Fractional coordinates of all 9 atoms:
Er 0.0000 0.6049 0.0000
Er 0.0000 0.0000 0.6049
Ir 0.0000 0.9979 0.9979
Pb 0.5000 0.9998 0.2659
Pb 0.5000 0.7335 0.7335
Pb 0.5000 0.2659 0.9998
Pd 0.5000 0.6688 0.3327
Pd 0.5000 0.3327 0.6688
Tb 0.0000 0.3964 0.3964

Output
symmetry	Amm2, No. 38
uncorrected energy	-5.5646	eV/atom